Entry 1:
VASP calculation (PBE) on a relaxed structure of Cs2Hf3PbO8.

Calculated values
DOS(E_F), states/eV per cell: 0.0
E_form (uncorrected), eV/atom: -2.721

Lattice parameters (Å, degrees): 8.2373 8.2373 8.2373 46.51 46.51 46.51
Fractional coordinates of all 14 atoms:
1 Cs 0.0000 0.0000 0.0000
2 Cs 0.3670 0.3670 0.3670
3 Hf 0.0008 0.0008 0.4910
4 Hf 0.0008 0.4910 0.0008
5 Hf 0.4910 0.0008 0.0008
6 Pb 0.5947 0.5947 0.5947
7 O 0.1940 0.7278 0.7278
8 O 0.2165 0.2165 0.2165
9 O 0.2654 0.2654 0.8234
10 O 0.2654 0.8234 0.2654
11 O 0.7278 0.1940 0.7278
12 O 0.7278 0.7278 0.1940
13 O 0.7872 0.7872 0.7872
14 O 0.8234 0.2654 0.2654

Entry 2:
VASP calculation (PBE) on a relaxed structure of Cs3HfPb2O6.

Calculated values
DOS(E_F), states/eV per cell: 10.8
E_form (uncorrected), eV/atom: -1.719

Lattice parameters (Å, degrees): 6.3493 6.3493 7.8313 90.00 90.00 120.00
Fractional coordinates of all 12 atoms:
1 Cs 0.0000 0.0000 0.0000
2 Cs 0.3333 0.6667 0.6704
3 Cs 0.6667 0.3333 0.3296
4 Hf 0.0000 0.0000 0.5000
5 Pb 0.3333 0.6667 0.2174
6 Pb 0.6667 0.3333 0.7826
7 O 0.1574 0.3149 0.3462
8 O 0.1574 0.8426 0.3462
9 O 0.3149 0.1574 0.6538
10 O 0.6851 0.8426 0.3462
11 O 0.8426 0.1574 0.6538
12 O 0.8426 0.6851 0.6538

Entry 3:
VASP calculation (PBE) on a relaxed structure of Cs3Pm3HfO8.

Calculated values
DOS(E_F), states/eV per cell: 0.0
E_form (uncorrected), eV/atom: -2.760

Lattice parameters (Å, degrees): 8.1180 8.1180 8.1180 51.95 51.95 51.95
Fractional coordinates of all 15 atoms:
1 Cs 0.0000 0.5000 0.5000
2 Cs 0.5000 0.0000 0.5000
3 Cs 0.5000 0.5000 0.0000
4 Pm 0.0000 0.0000 0.5000
5 Pm 0.0000 0.5000 0.0000
6 Pm 0.5000 0.0000 0.0000
7 Hf 0.5000 0.5000 0.5000
8 O 0.2212 0.2212 0.2212
9 O 0.2512 0.7024 0.7024
10 O 0.2976 0.2976 0.7488
11 O 0.2976 0.7488 0.2976
12 O 0.7024 0.2512 0.7024
13 O 0.7024 0.7024 0.2512
14 O 0.7488 0.2976 0.2976
15 O 0.7788 0.7788 0.7788

Entry 4:
VASP calculation (PBE) on a relaxed structure of Cs4Pr3HfO8.

Calculated values
DOS(E_F), states/eV per cell: 2.9
E_form (uncorrected), eV/atom: -2.456

Lattice parameters (Å, degrees): 8.1350 8.1350 8.1350 53.24 53.24 53.24
Fractional coordinates of all 16 atoms:
1 Cs 0.0000 0.0000 0.0000
2 Cs 0.0000 0.5000 0.5000
3 Cs 0.5000 0.0000 0.5000
4 Cs 0.5000 0.5000 0.0000
5 Pr 0.0000 0.0000 0.5000
6 Pr 0.0000 0.5000 0.0000
7 Pr 0.5000 0.0000 0.0000
8 Hf 0.5000 0.5000 0.5000
9 O 0.2205 0.2205 0.2205
10 O 0.2571 0.7011 0.7011
11 O 0.2989 0.2989 0.7429
12 O 0.2989 0.7429 0.2989
13 O 0.7011 0.2571 0.7011
14 O 0.7011 0.7011 0.2571
15 O 0.7429 0.2989 0.2989
16 O 0.7795 0.7795 0.7795

Entry 5:
VASP calculation (PBE) on a relaxed structure of Cs2HfPtO4.

Calculated values
E_form (uncorrected), eV/atom: -1.583

Lattice parameters (Å, degrees): 13.3893 11.9104 7.2921 84.79 62.36 32.85
Fractional coordinates of all 16 atoms:
1 Cs 0.0591 0.0591 0.6909
2 Cs 0.3091 0.3091 0.9409
3 Cs 0.6909 0.6909 0.0591
4 Cs 0.9409 0.9409 0.3091
5 Hf 0.1250 0.1250 0.1250
6 Hf 0.8750 0.8750 0.8750
7 Pt 0.3750 0.3750 0.3750
8 Pt 0.6250 0.6250 0.6250
9 O 0.0197 0.2855 0.4316
10 O 0.2369 0.5684 0.7145
11 O 0.2855 0.0197 0.7631
12 O 0.4316 0.7631 0.0197
13 O 0.5684 0.2369 0.9803
14 O 0.7145 0.9803 0.2369
15 O 0.7631 0.4316 0.2855
16 O 0.9803 0.7145 0.5684

Entry 6:
VASP calculation (PBE) on a relaxed structure of Cs2PuHfO6.

Calculated values
DOS(E_F), states/eV per cell: 6.3
E_form (uncorrected), eV/atom: -2.482

Lattice parameters (Å, degrees): 6.0674 6.0674 6.0674 60.00 60.00 60.00
Fractional coordinates of all 10 atoms:
1 Cs 0.2500 0.2500 0.2500
2 Cs 0.7500 0.7500 0.7500
3 Pu 0.0000 0.0000 0.0000
4 Hf 0.5000 0.5000 0.5000
5 O 0.2492 0.2492 0.7508
6 O 0.2492 0.7508 0.2492
7 O 0.2492 0.7508 0.7508
8 O 0.7508 0.2492 0.2492
9 O 0.7508 0.2492 0.7508
10 O 0.7508 0.7508 0.2492

Entry 7:
VASP calculation (PBE) on a relaxed structure of CsHf2ReO.

Calculated values
DOS(E_F), states/eV per cell: 6.9
E_form (uncorrected), eV/atom: 2.305
Offset from the most stable computed form, eV/f.u.: 10.10

Lattice parameters (Å, degrees): 5.3811 5.3811 4.0156 90.00 90.00 90.00
Fractional coordinates of all 5 atoms:
1 Cs 0.0000 0.0000 0.0000
2 Hf 0.0000 0.5000 0.0000
3 Hf 0.5000 0.0000 0.0000
4 Re 0.5000 0.5000 0.5000
5 O 0.0000 0.0000 0.5000

Entry 8:
VASP calculation (PBE) on a relaxed structure of CsHfReO6.

Calculated values
DOS(E_F), states/eV per cell: 0.0
E_form (uncorrected), eV/atom: -2.266

Lattice parameters (Å, degrees): 5.4254 5.4254 6.6685 90.00 90.00 120.00
Fractional coordinates of all 9 atoms:
1 Cs 0.0000 0.0000 0.0000
2 Hf 0.6667 0.3333 0.5000
3 Re 0.3333 0.6667 0.5000
4 O 0.0242 0.4164 0.3322
5 O 0.0242 0.6078 0.6678
6 O 0.3922 0.4164 0.6678
7 O 0.3922 0.9758 0.3322
8 O 0.5836 0.6078 0.3322
9 O 0.5836 0.9758 0.6678

Entry 9:
VASP calculation (PBE) on a relaxed structure of CsHf2ReO.

Calculated values
DOS(E_F), states/eV per cell: 4.4
E_form (uncorrected), eV/atom: 0.285
Offset from the most stable computed form, eV/f.u.: 0.00

Lattice parameters (Å, degrees): 4.3398 4.3398 5.2105 90.00 90.00 90.00
Fractional coordinates of all 5 atoms:
1 Cs 0.0000 0.0000 0.0000
2 Hf 0.0000 0.5000 0.5000
3 Hf 0.5000 0.0000 0.5000
4 Re 0.5000 0.5000 0.0000
5 O 0.0000 0.0000 0.5000

Entry 10:
VASP calculation (PBE) on a relaxed structure of CsHfRuO6.

Calculated values
DOS(E_F), states/eV per cell: 4.0
E_form (uncorrected), eV/atom: -1.739

Lattice parameters (Å, degrees): 5.4463 5.4463 6.6158 90.00 90.00 120.00
Fractional coordinates of all 9 atoms:
1 Cs 0.0000 0.0000 0.0000
2 Hf 0.6667 0.3333 0.5000
3 Ru 0.3333 0.6667 0.5000
4 O 0.0224 0.4265 0.3276
5 O 0.0224 0.5959 0.6724
6 O 0.4041 0.4265 0.6724
7 O 0.4041 0.9776 0.3276
8 O 0.5735 0.5959 0.3276
9 O 0.5735 0.9776 0.6724

Entry 11:
VASP calculation (PBE) on a relaxed structure of CsHfS2O8.

Calculated values
DOS(E_F), states/eV per cell: 3.0
E_form (uncorrected), eV/atom: -1.840

Lattice parameters (Å, degrees): 5.3690 5.3690 8.7274 90.00 90.00 120.00
Fractional coordinates of all 12 atoms:
1 Cs 0.0000 0.0000 0.0000
2 Hf 0.0000 0.0000 0.5000
3 S 0.3333 0.6667 0.7060
4 S 0.6667 0.3333 0.2940
5 O 0.1808 0.3636 0.6478
6 O 0.1828 0.8192 0.6478
7 O 0.3333 0.6667 0.8731
8 O 0.3636 0.1828 0.3522
9 O 0.6364 0.8172 0.6478
10 O 0.6667 0.3333 0.1269
11 O 0.8172 0.1808 0.3522
12 O 0.8192 0.6364 0.3522

Entry 12:
VASP calculation (PBE) on a relaxed structure of CsHfSb2O8.

Calculated values
DOS(E_F), states/eV per cell: 9.0
E_form (uncorrected), eV/atom: -1.692

Lattice parameters (Å, degrees): 5.7574 5.7574 8.5465 90.00 90.00 120.00
Fractional coordinates of all 12 atoms:
1 Cs 0.0000 0.0000 0.0000
2 Hf 0.0000 0.0000 0.5000
3 Sb 0.3333 0.6667 0.7087
4 Sb 0.6667 0.3333 0.2913
5 O 0.0692 0.3182 0.6439
6 O 0.2490 0.9308 0.6439
7 O 0.3182 0.2490 0.3561
8 O 0.3333 0.6667 0.9325
9 O 0.6667 0.3333 0.0675
10 O 0.6818 0.7510 0.6439
11 O 0.7510 0.0692 0.3561
12 O 0.9308 0.6818 0.3561

The highest E_form (uncorrected) belongs to which entry? number 7

The lowest E_form (uncorrected) belongs to which entry? Cs3Pm3HfO8

Copy entry 7 word for word.
VASP calculation (PBE) on a relaxed structure of CsHf2ReO.

Calculated values
DOS(E_F), states/eV per cell: 6.9
E_form (uncorrected), eV/atom: 2.305
Offset from the most stable computed form, eV/f.u.: 10.10

Lattice parameters (Å, degrees): 5.3811 5.3811 4.0156 90.00 90.00 90.00
Fractional coordinates of all 5 atoms:
1 Cs 0.0000 0.0000 0.0000
2 Hf 0.0000 0.5000 0.0000
3 Hf 0.5000 0.0000 0.0000
4 Re 0.5000 0.5000 0.5000
5 O 0.0000 0.0000 0.5000